[1]
The following is a DFT calculation (PBE) of Zr4HgAs after structural relaxation.

abc: 5.748 5.748 5.748
angles: 60.00 60.00 60.00
Sites, in units of the cell vectors:
Zr: 0.125 0.125 0.125
Zr: 0.125 0.125 0.624
Zr: 0.125 0.624 0.125
Zr: 0.624 0.125 0.125
Hg: 0.500 0.500 0.500
As: 0.750 0.750 0.750

Output
* D(E_F): 0.85 states/eV/atom
* total energy: -6.27 eV per atom
* total magnetization: 0.00 μB/f.u.
* volume: 22.38 A^3/atom

[2]
The following is a DFT calculation (PBE) of ZrHgAs3 after structural relaxation.

abc: 5.063 5.063 5.063
angles: 90.00 90.00 90.00
Sites, in units of the cell vectors:
Zr: 0.000 0.000 0.000
Hg: 0.500 0.500 0.500
As: 0.000 0.500 0.500
As: 0.500 0.000 0.500
As: 0.500 0.500 0.000

Output
* D(E_F): 0.96 states/eV/atom
* total energy: -3.63 eV per atom
* energy relative to the lowest polymorph listed for this composition: 730 meV/atom
* total magnetization: 0.00 μB/f.u.
* volume: 25.95 A^3/atom

[3]
The following is a DFT calculation (PBE) of ZrHgAs after structural relaxation.

abc: 3.934 3.934 8.503
angles: 90.00 90.00 90.00
Sites, in units of the cell vectors:
Zr: 0.250 0.250 0.152
Zr: 0.750 0.750 0.848
Hg: 0.250 0.750 0.500
Hg: 0.750 0.250 0.500
As: 0.250 0.250 0.836
As: 0.750 0.750 0.164

Output
* D(E_F): 0.68 states/eV/atom
* total energy: -5.01 eV per atom
* energy relative to the lowest polymorph listed for this composition: 0 meV/atom
* total magnetization: 0.00 μB/f.u.
* volume: 21.94 A^3/atom

[4]
The following is a DFT calculation (PBE) of ZrHgAs after structural relaxation.

abc: 3.230 3.230 7.247
angles: 90.00 90.00 120.00
Sites, in units of the cell vectors:
Zr: 0.000 0.000 0.000
Hg: 0.333 0.667 0.657
As: 0.667 0.333 0.298

Output
* D(E_F): 0.58 states/eV/atom
* total energy: -4.61 eV per atom
* energy relative to the lowest polymorph listed for this composition: 399 meV/atom
* total magnetization: 0.00 μB/f.u.
* volume: 21.82 A^3/atom

[5]
The following is a DFT calculation (PBE) of Zr2HgAs2 after structural relaxation.

abc: 7.673 7.673 3.549
angles: 90.00 90.00 90.00
Sites, in units of the cell vectors:
Zr: 0.144 0.356 0.000
Zr: 0.356 0.856 0.000
Zr: 0.644 0.144 0.000
Zr: 0.856 0.644 0.000
Hg: 0.000 0.000 0.000
Hg: 0.500 0.500 0.000
As: 0.148 0.648 0.500
As: 0.352 0.148 0.500
As: 0.648 0.852 0.500
As: 0.852 0.352 0.500

Output
* D(E_F): 0.41 states/eV/atom
* total energy: -6.03 eV per atom
* total magnetization: 0.00 μB/f.u.
* volume: 20.89 A^3/atom

[6]
The following is a DFT calculation (PBE) of ZrHgAs4 after structural relaxation.

abc: 5.591 5.591 5.591
angles: 60.00 60.00 60.00
Sites, in units of the cell vectors:
Zr: 0.000 0.000 0.000
Hg: 0.250 0.250 0.250
As: 0.125 0.625 0.625
As: 0.625 0.125 0.625
As: 0.625 0.625 0.125
As: 0.625 0.625 0.625

Output
* D(E_F): 0.78 states/eV/atom
* total energy: -4.40 eV per atom
* total magnetization: 0.00 μB/f.u.
* volume: 20.59 A^3/atom

[7]
The following is a DFT calculation (PBE) of ZrHg3As after structural relaxation.

abc: 5.145 5.145 5.145
angles: 90.00 90.00 90.00
Sites, in units of the cell vectors:
Zr: 0.000 0.000 0.000
Hg: 0.000 0.500 0.500
Hg: 0.500 0.000 0.500
Hg: 0.500 0.500 0.000
As: 0.500 0.500 0.500

Output
* D(E_F): 0.87 states/eV/atom
* total energy: -2.04 eV per atom
* energy relative to the lowest polymorph listed for this composition: 0 meV/atom
* total magnetization: 1.28 μB/f.u.
* volume: 27.23 A^3/atom

[8]
The following is a DFT calculation (PBE) of Zr3HgAs after structural relaxation.

abc: 5.002 5.002 5.002
angles: 90.00 90.00 90.00
Sites, in units of the cell vectors:
Zr: 0.000 0.000 0.500
Zr: 0.000 0.500 0.000
Zr: 0.500 0.000 0.000
Hg: 0.500 0.500 0.500
As: 0.000 0.000 0.000

Output
* D(E_F): 1.47 states/eV/atom
* total energy: -6.17 eV per atom
* energy relative to the lowest polymorph listed for this composition: 0 meV/atom
* total magnetization: 0.00 μB/f.u.
* volume: 25.03 A^3/atom

[9]
The following is a DFT calculation (PBE) of ZrHgAs after structural relaxation.

abc: 3.869 3.869 5.635
angles: 90.00 90.00 120.00
Sites, in units of the cell vectors:
Zr: 0.000 0.000 0.000
Hg: 0.667 0.333 0.619
As: 0.333 0.667 0.250

Output
* D(E_F): 1.01 states/eV/atom
* total energy: -4.72 eV per atom
* energy relative to the lowest polymorph listed for this composition: 291 meV/atom
* total magnetization: 0.27 μB/f.u.
* volume: 24.35 A^3/atom

[10]
The following is a DFT calculation (PBE) of Zr2HgAs2 after structural relaxation.

abc: 7.653 7.653 3.508
angles: 90.00 90.00 90.00
Sites, in units of the cell vectors:
Zr: 0.149 0.351 0.000
Zr: 0.351 0.851 0.000
Zr: 0.649 0.149 0.000
Zr: 0.851 0.649 0.000
Hg: 0.000 0.000 0.500
Hg: 0.500 0.500 0.500
As: 0.142 0.642 0.500
As: 0.358 0.142 0.500
As: 0.642 0.858 0.500
As: 0.858 0.358 0.500

Output
* D(E_F): 0.38 states/eV/atom
* total energy: -5.94 eV per atom
* total magnetization: 0.00 μB/f.u.
* volume: 20.55 A^3/atom

[11]
The following is a DFT calculation (PBE) of ZrHgAs after structural relaxation.

abc: 5.911 5.911 5.911
angles: 145.18 145.18 50.07
Sites, in units of the cell vectors:
Zr: 0.000 0.000 0.000
Hg: 0.297 0.297 0.000
As: 0.597 0.597 0.000

Output
* D(E_F): 0.92 states/eV/atom
* total energy: -4.83 eV per atom
* energy relative to the lowest polymorph listed for this composition: 178 meV/atom
* total magnetization: 0.00 μB/f.u.
* volume: 22.34 A^3/atom

[12]
The following is a DFT calculation (PBE) of ZrHgAs after structural relaxation.

abc: 4.711 4.711 4.711
angles: 60.00 60.00 60.00
Sites, in units of the cell vectors:
Zr: 0.000 0.000 0.000
Hg: 0.750 0.750 0.750
As: 0.250 0.250 0.250

Output
* D(E_F): 1.13 states/eV/atom
* total energy: -4.61 eV per atom
* energy relative to the lowest polymorph listed for this composition: 401 meV/atom
* total magnetization: 0.00 μB/f.u.
* volume: 24.64 A^3/atom